The following is a GGA-PBE calculation of Ba3CeMg2O8 after structural relaxation, from Alexandria.

**Total energy**: -88.53 eV per cell
**Crystal system**: trigonal
**ΔE_f (raw)**: -2427 meV/atom

Cell lengths 6.097, 6.097, 7.767 Å; angles 90.00, 90.00, 120.00 degrees
Sites, in units of the cell vectors:
Ba 0.000 0.000 0.000
Ba 0.333 0.667 0.645
Ba 0.667 0.333 0.355
Ce 0.000 0.000 0.500
Mg 0.333 0.667 0.213
Mg 0.667 0.333 0.787
O 0.166 0.332 0.323
O 0.166 0.834 0.323
O 0.332 0.166 0.677
O 0.333 0.667 0.967
O 0.667 0.333 0.033
O 0.668 0.834 0.323
O 0.834 0.166 0.677
O 0.834 0.668 0.677